(1)
PmErSiIr | PBE | relaxed

Computed properties:
* uncorrected formation energy: -0.8280 eV per atom
* ΔE to the lowest computed polymorph: 0 meV/atom
* VASP energy: -6.73 eV per atom
* volume: 22.6 Å³ per atom

a b c (Å): 3.905 5.861 5.861
angles (deg): 42.42 90.00 90.00
Fractional positions:
Pm 0.000 0.000 0.000
Er 0.500 0.282 0.282
Si 0.500 0.586 0.586
Ir 0.000 0.725 0.725

(2)
Pm2ErSn3Ir4 | PBE | relaxed

Computed properties:
* formation enthalpy at 0 K: -623 meV per atom
* VASP energy: -6.77 eV per atom
* volume: 22.2 Å³ per atom

a b c (Å): 4.373 4.373 11.613
angles (deg): 90.00 90.00 90.00
Fractional positions:
Pm 0.000 0.500 0.232
Pm 0.500 0.000 0.768
Er 0.000 0.000 0.500
Sn 0.000 0.500 0.872
Sn 0.500 0.000 0.128
Sn 0.500 0.500 0.500
Ir 0.000 0.000 0.000
Ir 0.000 0.500 0.648
Ir 0.500 0.000 0.352
Ir 0.500 0.500 0.000

(3)
Pr3ErIr | PBE | relaxed

Computed properties:
* formation enthalpy at 0 K: -84 meV per atom
* VASP energy: -5.64 eV per atom
* volume: 35.9 Å³ per atom

a b c (Å): 5.643 5.643 5.643
angles (deg): 90.00 90.00 90.00
Fractional positions:
Pr 0.000 0.000 0.500
Pr 0.000 0.500 0.000
Pr 0.500 0.000 0.000
Er 0.500 0.500 0.500
Ir 0.000 0.000 0.000

(4)
Pr5ErIr4 | PBE | relaxed

Computed properties:
* formation enthalpy at 0 K: -522 meV per atom
* VASP energy: -6.91 eV per atom
* volume: 28.3 Å³ per atom

a b c (Å): 9.652 9.652 7.620
angles (deg): 113.12 113.12 25.82
Fractional positions:
Pr 0.000 0.000 0.000
Pr 0.336 0.336 0.093
Pr 0.336 0.336 0.579
Pr 0.664 0.664 0.421
Pr 0.664 0.664 0.907
Er 0.000 0.000 0.500
Ir 0.197 0.197 0.697
Ir 0.500 0.500 0.261
Ir 0.500 0.500 0.739
Ir 0.803 0.803 0.303

(5)
PrErIr | PBE | relaxed

Computed properties:
* formation enthalpy at 0 K: -622 meV per atom
* ΔE to the lowest computed polymorph: 0 meV/atom
* VASP energy: -6.69 eV per atom
* volume: 25.3 Å³ per atom

a b c (Å): 4.629 7.532 7.532
angles (deg): 119.92 90.00 90.00
Fractional positions:
Pr 0.000 0.000 0.000
Pr 0.000 0.411 0.821
Pr 0.000 0.821 0.411
Er 0.500 0.153 0.411
Er 0.500 0.411 0.153
Er 0.500 0.670 0.670
Ir 0.000 0.411 0.411
Ir 0.500 0.078 0.745
Ir 0.500 0.745 0.078

(6)
PrEr2Ir2 | PBE | relaxed

Computed properties:
* formation enthalpy at 0 K: -705 meV per atom
* VASP energy: -7.03 eV per atom
* volume: 25.5 Å³ per atom

a b c (Å): 5.458 4.472 10.499
angles (deg): 90.00 96.33 90.00
Fractional positions:
Pr 0.076 0.250 0.282
Pr 0.924 0.750 0.718
Er 0.268 0.750 0.026
Er 0.374 0.250 0.610
Er 0.626 0.750 0.390
Er 0.732 0.250 0.974
Ir 0.158 0.750 0.469
Ir 0.205 0.250 0.866
Ir 0.795 0.750 0.134
Ir 0.842 0.250 0.531

(7)
PrErIr | PBE | relaxed

Computed properties:
* formation enthalpy at 0 K: -572 meV per atom
* ΔE to the lowest computed polymorph: 49 meV/atom
* VASP energy: -6.64 eV per atom
* volume: 25.8 Å³ per atom

a b c (Å): 4.587 4.587 8.033
angles (deg): 106.54 106.54 90.05
Fractional positions:
Pr 0.186 0.186 0.372
Pr 0.814 0.814 0.628
Er 0.000 0.500 0.000
Er 0.500 0.000 0.000
Ir 0.378 0.378 0.754
Ir 0.622 0.622 0.246

(8)
PrErIr | PBE | relaxed

Computed properties:
* formation enthalpy at 0 K: -596 meV per atom
* ΔE to the lowest computed polymorph: 25 meV/atom
* VASP energy: -6.66 eV per atom
* volume: 27.4 Å³ per atom

a b c (Å): 4.890 4.890 6.884
angles (deg): 89.70 89.57 90.00
Fractional positions:
Pr 0.004 0.497 0.250
Pr 0.996 0.503 0.750
Er 0.497 0.002 0.750
Er 0.503 0.998 0.250
Ir 0.000 0.000 0.000
Ir 0.500 0.500 0.500